CaNb3P at its PBEsol-relaxed geometry, computed with SCAN.

Unit cell a=4.6283 b=4.6283 c=4.6283 alpha=90.00 beta=90.00 gamma=90.00
Closest atoms and distances in Å follow each position.
Sites, in units of the cell vectors:
Nb (0.0000, 0.5000, 0.0000)  2 Ca 2.31
Nb (0.5000, 0.0000, 0.0000)  2 Ca 2.31
P (0.5000, 0.5000, 0.5000)  12 Nb 3.27
Ca (0.0000, 0.0000, 0.0000)  6 Nb 2.31
Nb (0.0000, 0.0000, 0.5000)  2 Ca 2.31

Values from the calculation:
E   -0.788 hartree per atom